VASP calculation (SCAN) on a PBEsol-optimized structure of ZrZnCr2.

Cell and atoms, written as CIF:
```
data_ZrZnCr2
_space_group_name_H-M_alt 'C m m m'
_space_group_IT_number 65
_space_group_name_Hall '-C 2 2'
_cell_length_a 5.407
_cell_length_b 8.517
_cell_length_c 2.486
_cell_angle_alpha 90.00
_cell_angle_beta 90.00
_cell_angle_gamma 90.00
loop_
_atom_site_label
_atom_site_type_symbol
_atom_site_fract_x
_atom_site_fract_y
_atom_site_fract_z
_atom_site_occupancy
Zr1 Zr 0.000 0.000 0.000 1
Zn1 Zn 0.000 0.500 0.000 1
Cr1 Cr 0.250 0.250 0.500 1
```

Results
Energy of formation   0.52 eV per atom

VASP calculation (SCAN) on a PBEsol-optimized structure of Ta2RuAu.

Cell and atoms, written as CIF:
```
data_Ta2RuAu
_space_group_name_H-M_alt 'P 1 m 1'
_space_group_IT_number 6
_cell_length_a 2.914
_cell_length_b 4.547
_cell_length_c 4.926
_cell_angle_alpha 90.00
_cell_angle_beta 94.61
_cell_angle_gamma 90.00
loop_
_space_group_symop_operation_xyz
'x,y,z'
'x,-y,z'
loop_
_atom_site_label
_atom_site_type_symbol
_atom_site_fract_x
_atom_site_fract_y
_atom_site_fract_z
_atom_site_occupancy
Ta1 Ta 0.000 0.000 0.000 1
Ta2 Ta 0.134 0.500 0.635 1
Ru1 Ru 0.574 0.000 0.513 1
Au1 Au 0.556 0.500 0.155 1
```

Results
ΔE to the lowest computed polymorph   0.37 eV/f.u.
Energy of formation   -0.21 eV per atom

VASP calculation (SCAN) on a PBEsol-optimized structure of KLaPdO3.

Cell and atoms, written as CIF:
```
data_KLaPdO3
_space_group_name_H-M_alt 'C 1 2/m 1'
_space_group_IT_number 12
_cell_length_a 13.321
_cell_length_b 3.950
_cell_length_c 7.439
_cell_angle_alpha 90.00
_cell_angle_beta 105.54
_cell_angle_gamma 90.00
loop_
_space_group_symop_operation_xyz
'x,y,z'
'-x,-y,-z'
'-x,y,-z'
'x,-y,z'
'x+1/2,y+1/2,z'
'-x+1/2,-y+1/2,-z'
'-x+1/2,y+1/2,-z'
'x+1/2,-y+1/2,z'
loop_
_atom_site_label
_atom_site_type_symbol
_atom_site_fract_x
_atom_site_fract_y
_atom_site_fract_z
_atom_site_occupancy
K1 K 0.142 0.000 0.065 1
La1 La 0.151 0.000 0.584 1
Pd1 Pd 0.007 0.500 0.273 1
O1 O 0.007 0.000 0.306 1
O2 O 0.151 0.500 0.786 1
O3 O 0.166 0.500 0.362 1
```

Results
Formation energy from raw total energies   -13.41 eV per formula unit

VASP calculation (SCAN) on a PBEsol-optimized structure of LaTcAg.

Cell and atoms, written as CIF:
```
data_LaTcAg
_space_group_name_H-M_alt 'I 4 m m'
_space_group_IT_number 107
_space_group_name_Hall 'I 4 -2'
_cell_length_a 3.717
_cell_length_b 3.717
_cell_length_c 9.139
_cell_angle_alpha 90.00
_cell_angle_beta 90.00
_cell_angle_gamma 90.00
loop_
_atom_site_label
_atom_site_type_symbol
_atom_site_fract_x
_atom_site_fract_y
_atom_site_fract_z
_atom_site_occupancy
La1 La 0.000 0.000 0.000 1
Tc1 Tc 0.000 0.000 0.722 1
Ag1 Ag 0.000 0.000 0.316 1
```

Results
ΔE to the lowest computed polymorph   0.00 eV/f.u.
Energy of formation   0.44 eV per atom

VASP calculation (SCAN) on a PBEsol-optimized structure of CuP4Rh.

Cell and atoms, written as CIF:
```
data_CuP4Rh
_space_group_name_H-M_alt 'F -4 3 m'
_space_group_IT_number 216
_space_group_name_Hall 'F -4 2 3'
_cell_length_a 6.906
_cell_length_b 6.906
_cell_length_c 6.906
_cell_angle_alpha 90.00
_cell_angle_beta 90.00
_cell_angle_gamma 90.00
loop_
_atom_site_label
_atom_site_type_symbol
_atom_site_fract_x
_atom_site_fract_y
_atom_site_fract_z
_atom_site_occupancy
Cu1 Cu 0.000 0.000 0.000 1
P1 P 0.129 0.129 0.371 1
Rh1 Rh 0.250 0.250 0.750 1
```

Results
Energy of formation   0.80 eV per atom

VASP calculation (SCAN) on a PBEsol-optimized structure of Li2CoSiO4.

Cell and atoms, written as CIF:
```
data_Li2CoSiO4
_space_group_name_H-M_alt 'P n m a'
_space_group_IT_number 62
_cell_length_a 10.769
_cell_length_b 6.106
_cell_length_c 5.029
_cell_angle_alpha 90.00
_cell_angle_beta 90.00
_cell_angle_gamma 90.00
loop_
_space_group_symop_operation_xyz
'x,y,z'
'-x,-y,-z'
'-x+1/2,-y,z+1/2'
'x+1/2,y,-z+1/2'
'x+1/2,-y+1/2,-z+1/2'
'-x+1/2,y+1/2,z+1/2'
'-x,y+1/2,-z'
'x,-y+1/2,z'
loop_
_atom_site_label
_atom_site_type_symbol
_atom_site_fract_x
_atom_site_fract_y
_atom_site_fract_z
_atom_site_occupancy
Li1 Li 0.169 0.005 0.200 1
Co1 Co 0.076 0.750 0.807 1
Si1 Si 0.085 0.250 0.691 1
O1 O 0.060 0.750 0.203 1
O2 O 0.084 0.250 0.363 1
O3 O 0.160 0.033 0.799 1
```

Results
ΔE to the lowest computed polymorph   0.11 eV/f.u.
Formation energy from raw total energies   -18.97 eV per formula unit

Repeat the first record exactly.
VASP calculation (SCAN) on a PBEsol-optimized structure of ZrZnCr2.

Cell and atoms, written as CIF:
```
data_ZrZnCr2
_space_group_name_H-M_alt 'C m m m'
_space_group_IT_number 65
_space_group_name_Hall '-C 2 2'
_cell_length_a 5.407
_cell_length_b 8.517
_cell_length_c 2.486
_cell_angle_alpha 90.00
_cell_angle_beta 90.00
_cell_angle_gamma 90.00
loop_
_atom_site_label
_atom_site_type_symbol
_atom_site_fract_x
_atom_site_fract_y
_atom_site_fract_z
_atom_site_occupancy
Zr1 Zr 0.000 0.000 0.000 1
Zn1 Zn 0.000 0.500 0.000 1
Cr1 Cr 0.250 0.250 0.500 1
```

Results
Energy of formation   0.52 eV per atom